(1)
Compound: KAgCl2
Source: Alexandria
Functional: PBE-GGA
Structure: relaxed

Results
The total energy comes out at -2.521 eV/atom. Its theoretical density is 3.651 g/cm³. The value obtained for the calculated volume is 99.1 Å³/cell. As for the energy relative to the elements, uncorrected: -0.61 eV per atom.

Geometry as POSCAR:
```
KAgCl2
1.0
0.000 3.673 3.673
3.673 0.000 3.673
3.673 3.673 0.000
K Ag Cl
1 1 2
direct
0.000 0.000 0.000 K
0.750 0.750 0.750 Ag
0.250 0.250 0.250 Cl
0.500 0.500 0.500 Cl
```

=====

(2)
Compound: UTlIn2
Source: Alexandria
Functional: PBE-GGA
Structure: relaxed

Results
As for the energy of formation: 8 kJ/mol of atoms. The total energy comes out at -4.697 eV/atom. Its theoretical density is 10.923 g/cm³. For the density of states at the Fermi level, the calculation gives 4.61 states/eV/cell. The value obtained for the calculated volume is 102.2 Å³/cell.

Geometry as POSCAR:
```
UTlIn2
1.0
4.675 0.000 0.000
0.000 4.675 0.000
0.000 0.000 4.675
U Tl In
1 1 2
direct
0.000 0.000 0.000 U
0.500 0.500 0.000 Tl
0.000 0.500 0.500 In
0.500 0.000 0.500 In
```

=====

(3)
Compound: BeBOs2
Source: Alexandria
Functional: PBE-GGA
Structure: relaxed

Results
As for the energy of formation: 39 kJ/mol of atoms. The total energy comes out at -7.812 eV/atom. Its theoretical density is 13.367 g/cm³. For the density of states at the Fermi level, the calculation gives 1.89 states/eV/cell. The value obtained for the calculated volume is 49.7 Å³/cell.

Geometry as POSCAR:
```
BeBOs2
1.0
1.404 0.811 7.279
-1.404 0.811 7.279
0.000 -1.622 7.279
Be B Os
1 1 2
direct
0.000 0.000 0.000 Be
0.500 0.500 0.500 B
0.101 0.101 0.101 Os
0.899 0.899 0.899 Os
```

=====

(4)
Compound: Rb2Pu3O8
Source: Alexandria
Functional: PBE-GGA
Structure: relaxed

Results
The total energy comes out at -9.136 eV/atom. Its theoretical density is 6.544 g/cm³. For the density of states at the Fermi level, the calculation gives 14.04 states/eV/cell. The value obtained for the calculated volume is 261.6 Å³/cell. As for the energy relative to the elements, uncorrected: -2.63 eV per atom.

Geometry as POSCAR:
```
Rb2Pu3O8
1.0
6.723 -3.471 0.000
6.723 3.471 0.000
-2.018 0.000 5.605
Rb Pu O
2 3 8
direct
0.215 0.215 0.163 Rb
0.785 0.785 0.837 Rb
0.244 0.756 0.500 Pu
0.500 0.500 0.000 Pu
0.756 0.244 0.500 Pu
0.092 0.092 0.472 O
0.205 0.631 0.125 O
0.369 0.795 0.875 O
0.417 0.417 0.599 O
0.583 0.583 0.401 O
0.631 0.205 0.125 O
0.795 0.369 0.875 O
0.908 0.908 0.528 O
```

=====

- Which of these has the highest theoretical density?
  BeBOs2

=====

Copy entry 4 word for word.
Compound: Rb2Pu3O8
Source: Alexandria
Functional: PBE-GGA
Structure: relaxed

Results
The total energy comes out at -9.136 eV/atom. Its theoretical density is 6.544 g/cm³. For the density of states at the Fermi level, the calculation gives 14.04 states/eV/cell. The value obtained for the calculated volume is 261.6 Å³/cell. As for the energy relative to the elements, uncorrected: -2.63 eV per atom.

Geometry as POSCAR:
```
Rb2Pu3O8
1.0
6.723 -3.471 0.000
6.723 3.471 0.000
-2.018 0.000 5.605
Rb Pu O
2 3 8
direct
0.215 0.215 0.163 Rb
0.785 0.785 0.837 Rb
0.244 0.756 0.500 Pu
0.500 0.500 0.000 Pu
0.756 0.244 0.500 Pu
0.092 0.092 0.472 O
0.205 0.631 0.125 O
0.369 0.795 0.875 O
0.417 0.417 0.599 O
0.583 0.583 0.401 O
0.631 0.205 0.125 O
0.795 0.369 0.875 O
0.908 0.908 0.528 O
```